A plane-wave DFT calculation with PBE was carried out for CrCd2Ir after structural relaxation.

Output
DFT formation energy = 0.440 eV per atom
crystal system = trigonal
excess energy over the best structure of this formula in the dataset = 360 meV/atom
calculated density = 10.989 g cm⁻³

```
data_CrCd2Ir
_chemical_formula_sum 'Cr3 Cd6 Ir3'
_cell_length_a 2.9705
_cell_length_b 2.9705
_cell_length_c 27.8228
_cell_angle_alpha 90.00
_cell_angle_beta 90.00
_cell_angle_gamma 120.00
_space_group_name_H-M_alt 'R -3 m'
_space_group_IT_number 166
_space_group_name_Hall '-R 3 2"'
loop_
_atom_site_label
_atom_site_type_symbol
_atom_site_fract_x
_atom_site_fract_y
_atom_site_fract_z
Cr1 Cr 0.0000 0.0000 0.0000
Cd1 Cd 0.0000 0.0000 0.2485
Ir1 Ir 0.0000 0.0000 0.5000
```

A plane-wave DFT calculation with PBE was carried out for AcY12Th5 after structural relaxation.

Output
DFT formation energy = 0.020 eV per atom
crystal system = monoclinic
calculated density = 6.949 g cm⁻³

```
data_AcY12Th5
_chemical_formula_sum 'Ac2 Y24 Th10'
_cell_length_a 6.277
_cell_length_b 10.885
_cell_length_c 17.281
_cell_angle_alpha 90.00
_cell_angle_beta 96.58
_cell_angle_gamma 90.00
_space_group_name_H-M_alt 'C 1 2/m 1'
_space_group_IT_number 12
_space_group_name_Hall '-C 2y'
loop_
_atom_site_label
_atom_site_type_symbol
_atom_site_fract_x
_atom_site_fract_y
_atom_site_fract_z
Ac1 Ac 0.000 0.000 0.000
Y1 Y 0.104 0.500 0.832
Y2 Y 0.114 0.170 0.832
Y3 Y 0.219 0.333 0.662
Y4 Y 0.220 0.000 0.662
Th1 Th 0.000 0.167 0.500
Th2 Th 0.000 0.333 0.000
Th3 Th 0.000 0.500 0.500
```

A plane-wave DFT calculation with PBE was carried out for AcErNiAg after structural relaxation.

Output
DFT formation energy = -0.181 eV per atom
crystal system = cubic
calculated density = 9.377 g cm⁻³

```
data_AcErNiAg
_chemical_formula_sum 'Ac4 Er4 Ni4 Ag4'
_cell_length_a 7.351
_cell_length_b 7.351
_cell_length_c 7.351
_cell_angle_alpha 90.00
_cell_angle_beta 90.00
_cell_angle_gamma 90.00
_space_group_name_H-M_alt 'F -4 3 m'
_space_group_IT_number 216
_space_group_name_Hall 'F -4 2 3'
loop_
_atom_site_label
_atom_site_type_symbol
_atom_site_fract_x
_atom_site_fract_y
_atom_site_fract_z
Ac1 Ac 0.000 0.000 0.000
Er1 Er 0.000 0.000 0.500
Ni1 Ni 0.250 0.250 0.250
Ag1 Ag 0.250 0.250 0.750
```